Below is crystalline Sr6Li5Tl at its relaxed geometry, with properties calculated at the GGA-PBE level.

Output
V   438.7 Å³/cell
Uncorrected energy   -1.900 eV per atom
Energy of formation from the pure elements   -0.065 eV per atom

Unit cell a=5.912 b=8.338 c=9.363 alpha=90.00 beta=108.13 gamma=90.00
Positions (direct):
Sr 0.000 0.241 0.000
Sr 0.000 0.759 0.000
Sr 0.338 0.244 0.674
Sr 0.338 0.756 0.674
Sr 0.662 0.244 0.326
Sr 0.662 0.756 0.326
Li 0.165 0.000 0.335
Li 0.166 0.500 0.336
Li 0.500 0.500 0.000
Li 0.834 0.500 0.664
Li 0.835 0.000 0.665
Tl 0.500 0.000 0.000



Below is crystalline Er7Ni3 at its relaxed geometry, with properties calculated at the GGA-PBE level.

Output
V   482.4 Å³/cell
Uncorrected energy   -5.216 eV per atom
Energy of formation from the pure elements   -0.288 eV per atom

Unit cell a=9.548 b=9.548 c=6.110 alpha=90.00 beta=90.00 gamma=120.00
Positions (direct):
Er 0.082 0.541 0.000
Er 0.126 0.252 0.317
Er 0.126 0.874 0.317
Er 0.252 0.126 0.817
Er 0.333 0.667 0.518
Er 0.459 0.541 0.000
Er 0.459 0.918 0.000
Er 0.541 0.082 0.500
Er 0.541 0.459 0.500
Er 0.667 0.333 0.018
Er 0.748 0.874 0.317
Er 0.874 0.126 0.817
Er 0.874 0.748 0.817
Er 0.918 0.459 0.500
Ni 0.190 0.380 0.743
Ni 0.190 0.810 0.743
Ni 0.380 0.190 0.243
Ni 0.620 0.810 0.743
Ni 0.810 0.190 0.243
Ni 0.810 0.620 0.243



The lowest uncorrected energy belongs to which entry? Er7Ni3